1.
# SrZrOsO6 (PBE, optimized geometry)
# - Volume: 136 Å³/f.u.
# - E_form (uncorrected): -1773 kJ/mol of formula units
data_SrZrOsO6
_cell_length_a 7.2086
_cell_length_b 7.2857
_cell_length_c 10.3705
_cell_angle_alpha 90.00
_cell_angle_beta 90.00
_cell_angle_gamma 90.00
_space_group_name_H-M_alt 'I m m a'
_space_group_IT_number 74
_space_group_name_Hall '-I 2b 2'
loop_
_atom_site_label
_atom_site_type_symbol
_atom_site_fract_x
_atom_site_fract_y
_atom_site_fract_z
_atom_site_occupancy
Sr1 Sr 0.0000 0.2500 0.1050 1
Zr1 Zr 0.2500 0.2500 0.7500 1
Os1 Os 0.0000 0.0000 0.5000 1
O1 O 0.0000 0.2500 0.4838 1
O2 O 0.0000 0.2500 0.8523 1
O3 O 0.1928 0.0151 0.6299 1


2.
# Sr2ZrOs3O12 (PBE, optimized geometry)
# - Volume: 284 Å³/f.u.
# - E_form (uncorrected): -3025 kJ/mol of formula units
data_Sr2ZrOs3O12
_cell_length_a 7.2850
_cell_length_b 7.2850
_cell_length_c 18.5561
_cell_angle_alpha 90.00
_cell_angle_beta 90.00
_cell_angle_gamma 120.00
_space_group_name_H-M_alt 'R -3 m'
_space_group_IT_number 166
_space_group_name_Hall '-R 3 2"'
loop_
_atom_site_label
_atom_site_type_symbol
_atom_site_fract_x
_atom_site_fract_y
_atom_site_fract_z
_atom_site_occupancy
Sr1 Sr 0.0000 0.0000 0.1917 1
Zr1 Zr 0.0000 0.0000 0.5000 1
Os1 Os 0.0000 0.5000 0.0000 1
O1 O 0.0439 0.5219 0.1067 1
O2 O 0.0851 0.5426 0.3448 1


3.
# Sr2ZrOsO8 (PBE, optimized geometry)
# - Volume: 189 Å³/f.u.
# - E_form (uncorrected): -2370 kJ/mol of formula units
data_Sr2ZrOsO8
_cell_length_a 7.4248
_cell_length_b 7.7014
_cell_length_c 6.6079
_cell_angle_alpha 90.00
_cell_angle_beta 90.00
_cell_angle_gamma 90.00
_space_group_name_H-M_alt 'C m m m'
_space_group_IT_number 65
_space_group_name_Hall '-C 2 2'
loop_
_atom_site_label
_atom_site_type_symbol
_atom_site_fract_x
_atom_site_fract_y
_atom_site_fract_z
_atom_site_occupancy
Sr1 Sr 0.0000 0.0000 0.2493 1
Zr1 Zr 0.0000 0.5000 0.5000 1
Os1 Os 0.0000 0.5000 0.0000 1
O1 O 0.0000 0.3340 0.2137 1
O2 O 0.2306 0.0000 0.5000 1
O3 O 0.2476 0.5000 0.0000 1


4.
# Ta2Os2O (PBE, optimized geometry)
# - Volume: 93 Å³/f.u.
# - E_form (uncorrected): 243 kJ/mol of formula units
# - Polymorph energy (0 for the lowest one): 0.2819 eV per atom
data_Ta2Os2O
_cell_length_a 3.7567
_cell_length_b 3.7567
_cell_length_c 13.1189
_cell_angle_alpha 90.00
_cell_angle_beta 90.00
_cell_angle_gamma 90.00
_space_group_name_H-M_alt 'I 4/m m m'
_space_group_IT_number 139
_space_group_name_Hall '-I 4 2'
loop_
_atom_site_label
_atom_site_type_symbol
_atom_site_fract_x
_atom_site_fract_y
_atom_site_fract_z
_atom_site_occupancy
Ta1 Ta 0.0000 0.0000 0.1171 1
Os1 Os 0.0000 0.5000 0.2500 1
O1 O 0.0000 0.0000 0.5000 1


5.
# Ta2Os2O (PBE, optimized geometry)
# - Volume: 82 Å³/f.u.
# - E_form (uncorrected): 107 kJ/mol of formula units
# - Polymorph energy (0 for the lowest one): 0.0000 eV per atom
data_Ta2Os2O
_cell_length_a 7.2249
_cell_length_b 7.2249
_cell_length_c 3.1327
_cell_angle_alpha 90.00
_cell_angle_beta 90.00
_cell_angle_gamma 90.00
_space_group_name_H-M_alt 'P 4/m b m'
_space_group_IT_number 127
_space_group_name_Hall '-P 4 2ab'
loop_
_atom_site_label
_atom_site_type_symbol
_atom_site_fract_x
_atom_site_fract_y
_atom_site_fract_z
_atom_site_occupancy
Ta1 Ta 0.1640 0.3360 0.0000 1
Os1 Os 0.1339 0.6339 0.5000 1
O1 O 0.0000 0.0000 0.0000 1


6.
# Ta3OsO (PBE, optimized geometry)
# - Volume: 113 Å³/f.u.
# - E_form (uncorrected): 772 kJ/mol of formula units
data_Ta3OsO
_cell_length_a 4.8405
_cell_length_b 4.8405
_cell_length_c 4.8405
_cell_angle_alpha 90.00
_cell_angle_beta 90.00
_cell_angle_gamma 90.00
_space_group_name_H-M_alt 'P m -3 m'
_space_group_IT_number 221
_space_group_name_Hall '-P 4 2 3'
loop_
_atom_site_label
_atom_site_type_symbol
_atom_site_fract_x
_atom_site_fract_y
_atom_site_fract_z
_atom_site_occupancy
Ta1 Ta 0.0000 0.0000 0.5000 1
Os1 Os 0.0000 0.0000 0.0000 1
O1 O 0.5000 0.5000 0.5000 1


7.
# Ta3OsO (PBE, optimized geometry)
# - Volume: 75 Å³/f.u.
# - E_form (uncorrected): -274 kJ/mol of formula units
data_Ta3OsO
_cell_length_a 4.2107
_cell_length_b 4.2107
_cell_length_c 4.2107
_cell_angle_alpha 90.00
_cell_angle_beta 90.00
_cell_angle_gamma 90.00
_space_group_name_H-M_alt 'P m -3 m'
_space_group_IT_number 221
_space_group_name_Hall '-P 4 2 3'
loop_
_atom_site_label
_atom_site_type_symbol
_atom_site_fract_x
_atom_site_fract_y
_atom_site_fract_z
_atom_site_occupancy
Ta1 Ta 0.0000 0.0000 0.5000 1
Os1 Os 0.5000 0.5000 0.5000 1
O1 O 0.0000 0.0000 0.0000 1


8.
# Tb2OsO6 (PBE, optimized geometry)
# - Volume: 126 Å³/f.u.
# - E_form (uncorrected): -2056 kJ/mol of formula units
# - Polymorph energy (0 for the lowest one): 0.0279 eV per atom
data_Tb2OsO6
_cell_length_a 5.0122
_cell_length_b 5.0122
_cell_length_c 10.0307
_cell_angle_alpha 90.00
_cell_angle_beta 90.00
_cell_angle_gamma 90.00
_space_group_name_H-M_alt 'P 42/m n m'
_space_group_IT_number 136
_space_group_name_Hall '-P 4n 2n'
loop_
_atom_site_label
_atom_site_type_symbol
_atom_site_fract_x
_atom_site_fract_y
_atom_site_fract_z
_atom_site_occupancy
Tb1 Tb 0.0000 0.0000 0.1697 1
Os1 Os 0.0000 0.0000 0.5000 1
O1 O 0.1858 0.1858 0.3557 1
O2 O 0.2279 0.2279 0.0000 1


9.
# Tb4OsO10 (PBE, optimized geometry)
# - Volume: 189 Å³/f.u.
# - E_form (uncorrected): -3526 kJ/mol of formula units
data_Tb4OsO10
_cell_length_a 8.3866
_cell_length_b 8.3866
_cell_length_c 5.3658
_cell_angle_alpha 90.00
_cell_angle_beta 90.00
_cell_angle_gamma 90.00
_space_group_name_H-M_alt 'I 4/m'
_space_group_IT_number 87
_space_group_name_Hall '-I 4'
loop_
_atom_site_label
_atom_site_type_symbol
_atom_site_fract_x
_atom_site_fract_y
_atom_site_fract_z
_atom_site_occupancy
Tb1 Tb 0.0977 0.6960 0.0000 1
Os1 Os 0.0000 0.0000 0.5000 1
O1 O 0.0000 0.5000 0.2500 1
O2 O 0.0953 0.1789 0.2756 1


10.
# Tb2OsO8 (PBE, optimized geometry)
# - Volume: 131 Å³/f.u.
# - E_form (uncorrected): -1689 kJ/mol of formula units
data_Tb2OsO8
_cell_length_a 15.6538
_cell_length_b 3.6677
_cell_length_c 4.7695
_cell_angle_alpha 90.00
_cell_angle_beta 107.34
_cell_angle_gamma 90.00
_space_group_name_H-M_alt 'C 1 2/m 1'
_space_group_IT_number 12
_space_group_name_Hall '-C 2y'
loop_
_atom_site_label
_atom_site_type_symbol
_atom_site_fract_x
_atom_site_fract_y
_atom_site_fract_z
_atom_site_occupancy
Tb1 Tb 0.1808 0.0000 0.1926 1
Os1 Os 0.0000 0.5000 0.5000 1
O1 O 0.0380 0.0000 0.3475 1
O2 O 0.0784 0.5000 0.2406 1
O3 O 0.1021 0.5000 0.8002 1
O4 O 0.2327 0.0000 0.7195 1


11.
# Tb2OsO6 (PBE, optimized geometry)
# - Volume: 123 Å³/f.u.
# - E_form (uncorrected): -2081 kJ/mol of formula units
# - Polymorph energy (0 for the lowest one): 0.0000 eV per atom
data_Tb2OsO6
_cell_length_a 5.4689
_cell_length_b 5.8211
_cell_length_c 8.9242
_cell_angle_alpha 90.00
_cell_angle_beta 119.92
_cell_angle_gamma 90.00
_space_group_name_H-M_alt 'P 1 21/c 1'
_space_group_IT_number 14
_space_group_name_Hall '-P 2ybc'
loop_
_atom_site_label
_atom_site_type_symbol
_atom_site_fract_x
_atom_site_fract_y
_atom_site_fract_z
_atom_site_occupancy
Tb1 Tb 0.1907 0.0879 0.2354 1
Os1 Os 0.5000 0.0000 0.0000 1
O1 O 0.1515 0.1715 0.9460 1
O2 O 0.2642 0.7304 0.9072 1
O3 O 0.4390 0.0757 0.7754 1


12.
# TbOsO4 (PBE, optimized geometry)
# - Volume: 75 Å³/f.u.
# - E_form (uncorrected): -1194 kJ/mol of formula units
# - Polymorph energy (0 for the lowest one): 0.0000 eV per atom
data_TbOsO4
_cell_length_a 7.7067
_cell_length_b 5.3562
_cell_length_c 7.4223
_cell_angle_alpha 90.00
_cell_angle_beta 99.92
_cell_angle_gamma 90.00
_space_group_name_H-M_alt 'P 1 21/c 1'
_space_group_IT_number 14
_space_group_name_Hall '-P 2ybc'
loop_
_atom_site_label
_atom_site_type_symbol
_atom_site_fract_x
_atom_site_fract_y
_atom_site_fract_z
_atom_site_occupancy
Tb1 Tb 0.1472 0.2142 0.3925 1
Os1 Os 0.3401 0.7289 0.2030 1
O1 O 0.1130 0.5223 0.1763 1
O2 O 0.1871 0.0124 0.1214 1
O3 O 0.3319 0.6316 0.9473 1
O4 O 0.4496 0.0796 0.8015 1


13.
# Tb3OsO7 (PBE, optimized geometry)
# - Volume: 148 Å³/f.u.
# - E_form (uncorrected): -2917 kJ/mol of formula units
data_Tb3OsO7
_cell_length_a 10.6578
_cell_length_b 7.4765
_cell_length_c 7.4161
_cell_angle_alpha 90.00
_cell_angle_beta 90.00
_cell_angle_gamma 90.00
_space_group_name_H-M_alt 'C m c m'
_space_group_IT_number 63
_space_group_name_Hall '-C 2c 2'
loop_
_atom_site_label
_atom_site_type_symbol
_atom_site_fract_x
_atom_site_fract_y
_atom_site_fract_z
_atom_site_occupancy
Tb1 Tb 0.0000 0.0000 0.0000 1
Tb2 Tb 0.2354 0.2822 0.2500 1
Os1 Os 0.0000 0.5000 0.0000 1
O1 O 0.0000 0.4622 0.2500 1
O2 O 0.1267 0.3037 0.5241 1
O3 O 0.1338 0.0182 0.2500 1


14.
# TbOsO4 (PBE, optimized geometry)
# - Volume: 74 Å³/f.u.
# - E_form (uncorrected): -1131 kJ/mol of formula units
# - Polymorph energy (0 for the lowest one): 0.1086 eV per atom
data_TbOsO4
_cell_length_a 5.3602
_cell_length_b 5.2264
_cell_length_c 5.3168
_cell_angle_alpha 90.00
_cell_angle_beta 98.47
_cell_angle_gamma 90.00
_space_group_name_H-M_alt 'P 1 21/c 1'
_space_group_IT_number 14
_space_group_name_Hall '-P 2ybc'
loop_
_atom_site_label
_atom_site_type_symbol
_atom_site_fract_x
_atom_site_fract_y
_atom_site_fract_z
_atom_site_occupancy
Tb1 Tb 0.0000 0.0000 0.0000 1
Os1 Os 0.5000 0.0000 0.5000 1
O1 O 0.1797 0.1501 0.3858 1
O2 O 0.3546 0.7048 0.2703 1


15.
# TbOsO5 (PBE, optimized geometry)
# - Volume: 100 Å³/f.u.
# - E_form (uncorrected): -1257 kJ/mol of formula units
data_TbOsO5
_cell_length_a 9.0377
_cell_length_b 6.4554
_cell_length_c 7.5270
_cell_angle_alpha 90.00
_cell_angle_beta 114.58
_cell_angle_gamma 90.00
_space_group_name_H-M_alt 'C 1 2/c 1'
_space_group_IT_number 15
_space_group_name_Hall '-C 2yc'
loop_
_atom_site_label
_atom_site_type_symbol
_atom_site_fract_x
_atom_site_fract_y
_atom_site_fract_z
_atom_site_occupancy
Tb1 Tb 0.0000 0.0454 0.2500 1
Os1 Os 0.0000 0.5000 0.0000 1
O1 O 0.0000 0.4117 0.2500 1
O2 O 0.0123 0.2059 0.9651 1
O3 O 0.2192 0.4832 0.6130 1


16.
# Tb2Tl2OsO6 (PBE, optimized geometry)
# - Volume: 209 Å³/f.u.
# - E_form (uncorrected): -1980 kJ/mol of formula units
data_Tb2Tl2OsO6
_cell_length_a 5.7906
_cell_length_b 10.1339
_cell_length_c 7.1375
_cell_angle_alpha 90.00
_cell_angle_beta 94.77
_cell_angle_gamma 90.00
_space_group_name_H-M_alt 'C 1 2/m 1'
_space_group_IT_number 12
_space_group_name_Hall '-C 2y'
loop_
_atom_site_label
_atom_site_type_symbol
_atom_site_fract_x
_atom_site_fract_y
_atom_site_fract_z
_atom_site_occupancy
Tb1 Tb 0.0000 0.1646 0.0000 1
Tl1 Tl 0.0000 0.3444 0.5000 1
Os1 Os 0.0000 0.5000 0.0000 1
O1 O 0.1623 0.3487 0.1467 1
O2 O 0.2179 0.0000 0.1480 1


17.
# TbTl2OsO8 (PBE, optimized geometry)
# - Volume: 175 Å³/f.u.
# - E_form (uncorrected): -1482 kJ/mol of formula units
data_TbTl2OsO8
_cell_length_a 5.0915
_cell_length_b 6.7283
_cell_length_c 5.1032
_cell_angle_alpha 90.00
_cell_angle_beta 91.04
_cell_angle_gamma 90.00
_space_group_name_H-M_alt 'P 1 2/m 1'
_space_group_IT_number 10
_space_group_name_Hall '-P 2y'
loop_
_atom_site_label
_atom_site_type_symbol
_atom_site_fract_x
_atom_site_fract_y
_atom_site_fract_z
_atom_site_occupancy
Tb1 Tb 0.0000 0.0000 0.0000 1
Tl1 Tl 0.5000 0.2511 0.5000 1
Os1 Os 0.0000 0.5000 0.0000 1
O1 O 0.1784 0.2914 0.8243 1
O2 O 0.2666 0.5000 0.2692 1
O3 O 0.3033 0.0000 0.3056 1


18.
# TbTl3Os2O9 (PBE, optimized geometry)
# - Volume: 210 Å³/f.u.
# - E_form (uncorrected): -1906 kJ/mol of formula units
data_TbTl3Os2O9
_cell_length_a 5.8026
_cell_length_b 5.8026
_cell_length_c 7.1968
_cell_angle_alpha 90.00
_cell_angle_beta 90.00
_cell_angle_gamma 120.00
_space_group_name_H-M_alt 'P -3 m 1'
_space_group_IT_number 164
_space_group_name_Hall '-P 3 2"'
loop_
_atom_site_label
_atom_site_type_symbol
_atom_site_fract_x
_atom_site_fract_y
_atom_site_fract_z
_atom_site_occupancy
Tb1 Tb 0.0000 0.0000 0.0000 1
Tl1 Tl 0.0000 0.0000 0.5000 1
Tl2 Tl 0.3333 0.6667 0.1528 1
Os1 Os 0.3333 0.6667 0.6516 1
O1 O 0.0000 0.5000 0.5000 1
O2 O 0.1799 0.3598 0.8065 1


19.
# TbTm2OsO8 (PBE, optimized geometry)
# - Volume: 168 Å³/f.u.
# - E_form (uncorrected): -2977 kJ/mol of formula units
data_TbTm2OsO8
_cell_length_a 7.0513
_cell_length_b 7.0751
_cell_length_c 6.7242
_cell_angle_alpha 90.00
_cell_angle_beta 90.00
_cell_angle_gamma 90.00
_space_group_name_H-M_alt 'C m m m'
_space_group_IT_number 65
_space_group_name_Hall '-C 2 2'
loop_
_atom_site_label
_atom_site_type_symbol
_atom_site_fract_x
_atom_site_fract_y
_atom_site_fract_z
_atom_site_occupancy
Tb1 Tb 0.0000 0.0000 0.0000 1
Tm1 Tm 0.0000 0.5000 0.2461 1
Os1 Os 0.0000 0.0000 0.5000 1
O1 O 0.0000 0.1861 0.2909 1
O2 O 0.1891 0.5000 0.0000 1
O3 O 0.2325 0.5000 0.5000 1